First-principles (PBE) data for a geometry-optimized Zr2CrHgMo structure, as listed in Alexandria.

Lattice parameters (Å, degrees): 5.1881 5.1881 4.9242 90.00 90.00 90.00
Fractional positions:
Zr (0.0000, 0.5000, 0.0000)
Zr (0.5000, 0.0000, 0.0000)
Cr (0.0000, 0.0000, 0.5000)
Hg (0.5000, 0.5000, 0.0000)
Mo (0.5000, 0.5000, 0.5000)

- Symmetry: P4/mmm, No. 123
- D(E_F): 12.6 states/eV/cell
- E: -27.1 eV for the cell shown



First-principles (PBE) data for a geometry-optimized ErMg4Pd2 structure, as listed in Alexandria.

Lattice parameters (Å, degrees): 7.9812 7.9812 4.5190 90.00 90.00 90.00
Fractional positions:
Er (0.0000, 0.0000, 0.0000)
Er (0.5000, 0.5000, 0.5000)
Mg (0.0866, 0.3355, 0.5000)
Mg (0.1645, 0.5866, 0.0000)
Mg (0.3355, 0.0866, 0.5000)
Mg (0.4134, 0.8355, 0.0000)
Mg (0.5866, 0.1645, 0.0000)
Mg (0.6645, 0.9134, 0.5000)
Mg (0.8355, 0.4134, 0.0000)
Mg (0.9134, 0.6645, 0.5000)
Pd (0.2371, 0.7629, 0.5000)
Pd (0.2629, 0.2629, 0.0000)
Pd (0.7371, 0.7371, 0.0000)
Pd (0.7629, 0.2371, 0.5000)

- Symmetry: P4_2/mnm, No. 136
- D(E_F): 6.2 states/eV/cell
- E: -49.4 eV for the cell shown